SrPtS, optimized geometry, DFT PBE-GGA; formation energy without anion corrections = -116 kJ/mol of atoms; mass density = 7.17 Mg/m³; total DFT energy (no corrections) = -30.89 eV for the cell shown; density of states at the Fermi level = 0.000 states/eV/f.u.; space group = P-1, No. 2
1.0
-0.285 -3.433 1.735
0.558 -5.015 -5.485
5.319 1.793 0.136
Sr S Pt
2 2 2
direct
0.945 0.316 0.087
0.034 0.753 0.692
0.755 0.737 0.118
0.224 0.332 0.661
0.733 0.146 0.491
0.245 0.923 0.289

=====

RbBPb, optimized geometry, DFT PBE-GGA; mass density = 5.67 Mg/m³; total DFT energy (no corrections) = -20.30 eV for the cell shown; formation enthalpy at 0 K = 39 kJ per mole of atoms; density of states at the Fermi level = 0.611 states/eV/f.u.; space group = Pmmm, No. 47
1.0
7.384 0.000 0.000
0.000 4.032 0.000
0.000 0.000 5.974
Pb B Rb
2 2 2
direct
0.211 0.500 0.000
0.789 0.500 0.000
0.609 0.000 0.000
0.391 0.000 0.000
0.500 0.500 0.500
0.000 0.000 0.500

=====

Be3Fe, optimized geometry, DFT PBE-GGA; mass density = 3.96 Mg/m³; total DFT energy (no corrections) = -19.94 eV for the cell shown; formation enthalpy at 0 K = -7 kJ per mole of atoms; density of states at the Fermi level = 1.968 states/eV/f.u.; space group = P2/m, No. 10
1.0
3.527 0.000 0.000
0.000 2.322 0.045
0.000 0.916 4.258
Be Fe
3 1
direct
0.000 0.930 0.001
0.500 0.750 0.750
0.000 0.570 0.499
0.500 0.250 0.250

=====

Li3Tl4, optimized geometry, DFT PBE-GGA; mass density = 8.63 Mg/m³; total DFT energy (no corrections) = -16.21 eV for the cell shown; formation enthalpy at 0 K = -14 kJ per mole of atoms; distance to the lowest polymorph of the same formula = 0.00 kcal/mol of atoms; density of states at the Fermi level = 3.643 states/eV/f.u.; space group = R-3m, No. 166
1.0
0.720 0.477 4.798
3.792 -2.206 2.127
5.920 5.767 1.014
Li Tl
3 4
direct
0.254 0.254 0.237
0.746 0.746 0.763
0.000 0.000 0.000
0.618 0.618 0.145
0.871 0.871 0.387
0.129 0.129 0.613
0.382 0.382 0.855

=====

LaDy2Au, optimized geometry, DFT PBE-GGA; mass density = 9.18 Mg/m³; total DFT energy (no corrections) = -76.45 eV for the cell shown; formation enthalpy at 0 K = -41 kJ per mole of atoms; distance to the lowest polymorph of the same formula = 0.00 kcal/mol of atoms; density of states at the Fermi level = 4.926 states/eV/f.u.; space group = Pnma, No. 62
1.0
-1.576 1.426 -6.346
5.977 -3.018 -2.162
-4.795 -8.914 -0.812
La Dy Au
4 8 4
direct
0.630 0.500 0.250
0.870 0.000 0.250
0.370 0.500 0.750
0.130 0.000 0.750
0.176 0.682 0.052
0.324 0.182 0.448
0.824 0.318 0.552
0.676 0.818 0.948
0.824 0.318 0.948
0.676 0.818 0.552
0.176 0.682 0.448
0.324 0.182 0.052
0.080 0.390 0.250
0.420 0.890 0.250
0.920 0.610 0.750
0.580 0.110 0.750

=====

Li2LaPm, optimized geometry, DFT PBE-GGA; mass density = 4.09 Mg/m³; total DFT energy (no corrections) = -12.52 eV for the cell shown; formation enthalpy at 0 K = 24 kJ per mole of atoms; distance to the lowest polymorph of the same formula = 2.23 kcal/mol of atoms; density of states at the Fermi level = 5.280 states/eV/f.u.; space group = R-3m, No. 166
1.0
-1.449 -3.054 0.071
0.726 -2.158 2.500
-9.459 2.790 7.440
La Li Pm
1 2 1
direct
0.000 0.000 0.000
0.089 0.089 0.732
0.911 0.911 0.268
0.500 0.500 0.500

=====

Fe2CoNiH, optimized geometry, DFT PBE-GGA; mass density = 8.09 Mg/m³; total DFT energy (no corrections) = -33.22 eV for the cell shown; distance to the lowest polymorph of the same formula = 0.00 kcal/mol of atoms; density of states at the Fermi level = 4.183 states/eV/f.u.; space group = P4/mmm, No. 123
1.0
3.656 0.000 0.000
0.000 3.656 0.000
0.000 0.000 3.539
Ni Co Fe H
1 1 2 1
direct
0.500 0.500 0.500
0.000 0.000 0.500
0.000 0.500 0.000
0.500 0.000 0.000
0.000 0.000 0.000

=====

Cd2Ru2N, optimized geometry, DFT PBE-GGA; formation energy without anion corrections = 33 kJ/mol of atoms; mass density = 9.34 Mg/m³; total DFT energy (no corrections) = -54.01 eV for the cell shown; distance to the lowest polymorph of the same formula = 0.00 kcal/mol of atoms; density of states at the Fermi level = 4.026 states/eV/f.u.; space group = P4/mbm, No. 127
1.0
5.528 0.000 0.000
0.000 5.528 0.000
0.000 0.000 5.129
Ru N Cd
4 2 4
direct
0.317 0.817 0.000
0.817 0.683 0.000
0.683 0.183 0.000
0.183 0.317 0.000
0.000 0.000 0.000
0.500 0.500 0.000
0.173 0.673 0.500
0.673 0.827 0.500
0.827 0.327 0.500
0.327 0.173 0.500